Record 1
The following is a DFT calculation (PBE) of Li2H after structural relaxation.

Total DFT energy (no corrections): -2.627 eV/atom
Symmetry: P-1 (2)

Cell lengths 2.8069, 2.8380, 5.1812 Å; angles 74.69, 74.55, 60.44 degrees
With the nearest neighbours (Å) after each atom.
Element x y z (fractional)
Li  0.2428  0.2492  0.2627  3 H 2.00-2.03
Li  0.7572  0.7508  0.7373  3 H 2.00-2.03
H  0.5000  0.5000  0.5000  6 Li 2.00-2.03

Record 2
The following is a DFT calculation (PBE) of LiH after structural relaxation.

Total DFT energy (no corrections): -3.056 eV/atom
Symmetry: Fm-3m (225)

Cell lengths 2.8180, 2.8180, 2.8180 Å; angles 60.00, 60.00, 60.00 degrees
With the nearest neighbours (Å) after each atom.
Element x y z (fractional)
Li  0.0000  0.0000  0.0000  6 H 1.99
H  0.5000  0.5000  0.5000  6 Li 1.99

Record 3
The following is a DFT calculation (PBE) of Li4H after structural relaxation.

Total DFT energy (no corrections): -2.333 eV/atom
Symmetry: C2/m (12)

Cell lengths 2.8842, 2.8842, 10.2042 Å; angles 97.65, 97.65, 60.97 degrees
With the nearest neighbours (Å) after each atom.
Element x y z (fractional)
Li  0.1323  0.1323  0.3835  3 H 2.02-2.06
Li  0.2908  0.2908  0.8737  12 Li 2.88-3.10
Li  0.7092  0.7092  0.1263  12 Li 2.88-3.10
Li  0.8677  0.8677  0.6165  3 H 2.02-2.06
H  0.5000  0.5000  0.5000  6 Li 2.02-2.06

Record 4
The following is a DFT calculation (PBE) of LiH5 after structural relaxation.

Total DFT energy (no corrections): -2.873 eV/atom
Symmetry: Cmmm (65)

Cell lengths 7.5464, 7.5464, 2.1497 Å; angles 90.00, 90.00, 159.64 degrees
With the nearest neighbours (Å) after each atom.
Element x y z (fractional)
Li  0.0000  0.0000  0.0000  4 H 1.71
H  0.3248  0.6752  0.0000  2 H 1.07
H  0.3251  0.6749  0.5000  2 H 1.07
H  0.5000  0.5000  0.5000  4 Li 1.71
H  0.6752  0.3248  0.0000  2 H 1.07
H  0.6749  0.3251  0.5000  2 H 1.07

Record 5
The following is a DFT calculation (PBE) of Li2H after structural relaxation.

Total DFT energy (no corrections): -2.634 eV/atom
Symmetry: Pmmn (59)

Cell lengths 2.8196, 4.1521, 5.9334 Å; angles 90.00, 90.00, 90.00 degrees
With the nearest neighbours (Å) after each atom.
Element x y z (fractional)
Li  0.2500  0.2500  0.1089  4 H 1.92-2.08
Li  0.2500  0.2500  0.6462  2 H 2.02
Li  0.7500  0.7500  0.3538  2 H 2.02
Li  0.7500  0.7500  0.8911  4 H 1.92-2.08
H  0.2500  0.7500  0.1101  6 Li 1.92-2.08
H  0.7500  0.2500  0.8899  6 Li 1.92-2.08

Record 6
The following is a DFT calculation (PBE) of LiH2 after structural relaxation.

Total DFT energy (no corrections): -2.713 eV/atom
Symmetry: Amm2 (38)

Cell lengths 2.4875, 3.1699, 3.1699 Å; angles 86.88, 90.00, 90.00 degrees
With the nearest neighbours (Å) after each atom.
Element x y z (fractional)
Li  0.0000  0.0000  0.0000  4 H 1.89
H  0.5000  0.5983  0.8228  1 H 0.98
H  0.5000  0.8228  0.5983  1 H 0.98

Record 7
The following is a DFT calculation (PBE) of LiH after structural relaxation.

Total DFT energy (no corrections): -3.032 eV/atom
Symmetry: P2_1/m (11)

Cell lengths 3.2223, 4.0419, 3.2341 Å; angles 90.00, 119.53, 90.00 degrees
With the nearest neighbours (Å) after each atom.
Element x y z (fractional)
Li  0.1668  0.2500  0.3319  5 H 1.87-2.02
Li  0.8332  0.7500  0.6681  5 H 1.87-2.02
H  0.1670  0.7500  0.3319  5 Li 1.87-2.02
H  0.8330  0.2500  0.6681  5 Li 1.87-2.02

Record 8
The following is a DFT calculation (PBE) of LiH after structural relaxation.

Total DFT energy (no corrections): -2.991 eV/atom
Symmetry: I4/m (87)

Cell lengths 5.6307, 5.6307, 5.6307 Å; angles 94.44, 94.44, 147.69 degrees
With the nearest neighbours (Å) after each atom.
Element x y z (fractional)
Li  0.1187  0.7062  0.8249  4 H 1.79-1.88
Li  0.2938  0.1187  0.4124  4 H 1.79-1.88
Li  0.7062  0.8813  0.5876  4 H 1.79-1.88
Li  0.8813  0.2938  0.1751  4 H 1.79-1.88
H  0.1154  0.2876  0.4030  4 Li 1.79-1.88
H  0.2876  0.8846  0.1722  4 Li 1.79-1.88
H  0.7124  0.1154  0.8278  4 Li 1.79-1.88
H  0.8846  0.7124  0.5970  4 Li 1.79-1.88

Record 9
The following is a DFT calculation (PBE) of LiH after structural relaxation.

Total DFT energy (no corrections): -2.995 eV/atom
Symmetry: Pm-3n (223)

Cell lengths 5.2055, 5.2055, 5.2055 Å; angles 90.00, 90.00, 90.00 degrees
With the nearest neighbours (Å) after each atom.
Element x y z (fractional)
Li  0.0000  0.2500  0.5000  4 H 1.84
Li  0.0000  0.7500  0.5000  4 H 1.84
Li  0.2500  0.5000  0.0000  4 H 1.84
Li  0.5000  0.0000  0.2500  4 H 1.84
Li  0.5000  0.0000  0.7500  4 H 1.84
Li  0.7500  0.5000  0.0000  4 H 1.84
H  0.0000  0.5000  0.2500  4 Li 1.84
H  0.0000  0.5000  0.7500  4 Li 1.84
H  0.2500  0.0000  0.5000  4 Li 1.84
H  0.5000  0.2500  0.0000  4 Li 1.84
H  0.5000  0.7500  0.0000  4 Li 1.84
H  0.7500  0.0000  0.5000  4 Li 1.84

Record 10
The following is a DFT calculation (PBE) of Li8H after structural relaxation.

Total DFT energy (no corrections): -2.138 eV/atom
Symmetry: P-3m1 (164)

Cell lengths 5.9794, 5.9794, 4.9740 Å; angles 90.00, 90.00, 120.00 degrees
With the nearest neighbours (Å) after each atom.
Element x y z (fractional)
Li  0.1615  0.3230  0.2696  1 H 2.03
Li  0.1615  0.8385  0.2696  1 H 2.03
Li  0.3230  0.1615  0.7304  1 H 2.03
Li  0.3333  0.6667  0.7996  12 Li 2.94-3.18
Li  0.6667  0.3333  0.2004  12 Li 2.94-3.18
Li  0.6770  0.8385  0.2696  1 H 2.03
Li  0.8385  0.1615  0.7304  1 H 2.03
Li  0.8385  0.6770  0.7304  1 H 2.03
H  0.0000  0.0000  0.5000  6 Li 2.03

Record 11
The following is a DFT calculation (PBE) of Li3H2 after structural relaxation.

Total DFT energy (no corrections): -2.794 eV/atom
Symmetry: R-3m (166)

Cell lengths 7.4702, 7.4702, 7.4702 Å; angles 21.71, 21.71, 21.71 degrees
With the nearest neighbours (Å) after each atom.
Element x y z (fractional)
Li  0.0000  0.0000  0.0000  6 H 2.01
Li  0.2263  0.2263  0.2263  3 H 1.99
Li  0.7737  0.7737  0.7737  3 H 1.99
H  0.3875  0.3875  0.3875  6 Li 1.99-2.01
H  0.6125  0.6125  0.6125  6 Li 1.99-2.01

Record 12
The following is a DFT calculation (PBE) of Li3H4 after structural relaxation.

Total DFT energy (no corrections): -2.798 eV/atom
Symmetry: I-43d (220)

Cell lengths 5.0542, 5.0542, 5.0542 Å; angles 109.47, 109.47, 109.47 degrees
With the nearest neighbours (Å) after each atom.
Element x y z (fractional)
Li  0.1250  0.7500  0.8750  8 H 2.00-2.04
Li  0.2500  0.6250  0.3750  8 H 2.00-2.04
Li  0.3750  0.2500  0.6250  8 H 2.00-2.04
Li  0.6250  0.3750  0.2500  8 H 2.00-2.04
Li  0.7500  0.8750  0.1250  8 H 2.00-2.04
Li  0.8750  0.1250  0.7500  8 H 2.00-2.04
H  0.0000  0.3391  0.5000  6 Li 2.00-2.04, 3 H 2.19
H  0.0000  0.8391  0.5000  6 Li 2.00-2.04, 3 H 2.19
H  0.1609  0.1609  0.1609  6 Li 2.00-2.04, 3 H 2.19
H  0.3391  0.5000  0.0000  6 Li 2.00-2.04, 3 H 2.19
H  0.5000  0.0000  0.3391  6 Li 2.00-2.04, 3 H 2.19
H  0.5000  0.0000  0.8391  6 Li 2.00-2.04, 3 H 2.19
H  0.6609  0.6609  0.6609  6 Li 2.00-2.04, 3 H 2.19
H  0.8391  0.5000  0.0000  6 Li 2.00-2.04, 3 H 2.19

Record 13
The following is a DFT calculation (PBE) of Li4H after structural relaxation.

Total DFT energy (no corrections): -2.274 eV/atom
Symmetry: Pm-3m (221)

Cell lengths 4.1829, 4.1829, 4.1829 Å; angles 90.00, 90.00, 90.00 degrees
With the nearest neighbours (Å) after each atom.
Element x y z (fractional)
Li  0.0000  0.0000  0.0000  12 Li 2.96
Li  0.0000  0.5000  0.5000  2 H 2.09
Li  0.5000  0.0000  0.5000  2 H 2.09
Li  0.5000  0.5000  0.0000  2 H 2.09
H  0.5000  0.5000  0.5000  6 Li 2.09

Record 14
The following is a DFT calculation (PBE) of Li2H after structural relaxation.

Total DFT energy (no corrections): -2.621 eV/atom
Symmetry: P1 (1)

Cell lengths 2.7865, 2.8991, 9.9709 Å; angles 84.78, 89.82, 61.30 degrees
With the nearest neighbours (Å) after each atom.
Element x y z (fractional)
Li  0.0000  0.0000  0.0000  3 H 1.92-1.98
Li  0.1390  0.7280  0.7539  5 H 1.97-2.03
Li  0.3647  0.2843  0.2646  11 Li 2.79-3.12
Li  0.7749  0.4621  0.5193  3 H 1.96-2.19
H  0.4359  0.1372  0.6384  6 Li 1.96-2.19
H  0.6648  0.6727  0.8938  5 Li 1.92-1.98

Record 15
The following is a DFT calculation (PBE) of LiH after structural relaxation.

Total DFT energy (no corrections): -3.006 eV/atom
Symmetry: I-4m2 (119)

Cell lengths 3.0081, 3.0081, 3.0081 Å; angles 119.91, 119.91, 90.15 degrees
With the nearest neighbours (Å) after each atom.
Element x y z (fractional)
Li  0.0000  0.0000  0.0000  4 H 1.84
H  0.2500  0.7500  0.5000  4 Li 1.84

Record 16
The following is a DFT calculation (PBE) of Li6H5 after structural relaxation.

Total DFT energy (no corrections): -2.905 eV/atom
Symmetry: C2/m (12)

Cell lengths 4.9022, 4.9022, 4.9434 Å; angles 99.64, 99.64, 119.72 degrees
With the nearest neighbours (Å) after each atom.
Element x y z (fractional)
Li  0.0647  0.4145  0.7486  5 H 1.93-2.05
Li  0.2399  0.2399  0.2629  5 H 1.92-2.03
Li  0.4145  0.0647  0.7486  5 H 1.93-2.05
Li  0.5855  0.9353  0.2514  5 H 1.93-2.05
Li  0.7601  0.7601  0.7371  5 H 1.92-2.03
Li  0.9353  0.5855  0.2514  5 H 1.93-2.05
H  0.0000  0.0000  0.5000  6 Li 1.92-2.03
H  0.1690  0.8310  0.0000  6 Li 1.97-2.03
H  0.3329  0.6671  0.5000  6 Li 1.93-2.05
H  0.6671  0.3329  0.5000  6 Li 1.93-2.05
H  0.8310  0.1690  0.0000  6 Li 1.97-2.03

Record 17
The following is a DFT calculation (PBE) of LiH2 after structural relaxation.

Total DFT energy (no corrections): -2.694 eV/atom
Symmetry: C2/m (12)

Cell lengths 2.6860, 2.6860, 3.2637 Å; angles 113.35, 113.35, 90.18 degrees
With the nearest neighbours (Å) after each atom.
Element x y z (fractional)
Li  0.0000  0.0000  0.0000  10 H 1.94-2.12
H  0.4077  0.4077  0.7834  1 H 1.17
H  0.5923  0.5923  0.2166  1 H 1.17

Record 18
The following is a DFT calculation (PBE) of Li2H after structural relaxation.

Total DFT energy (no corrections): -2.604 eV/atom
Symmetry: Pc (7)

Cell lengths 2.6476, 5.6387, 5.5244 Å; angles 90.00, 118.20, 90.00 degrees
With the nearest neighbours (Å) after each atom.
Element x y z (fractional)
Li  0.0000  0.1172  0.0000  3 H 1.87-1.90
Li  0.0000  0.8828  0.5000  3 H 1.87-1.90
Li  0.5771  0.3642  0.5692  2 H 1.94
Li  0.5771  0.6358  0.0692  2 H 1.94
H  0.2294  0.1509  0.7246  5 Li 1.87-1.94
H  0.2294  0.8491  0.2246  5 Li 1.87-1.94

Record 19
The following is a DFT calculation (PBE) of LiH2 after structural relaxation.

Total DFT energy (no corrections): -2.690 eV/atom
Symmetry: P-1 (2)

Cell lengths 2.4436, 2.9227, 2.9378 Å; angles 60.39, 84.76, 87.74 degrees
With the nearest neighbours (Å) after each atom.
Element x y z (fractional)
Li  0.0000  0.0000  0.0000  8 H 1.94-2.11
H  0.4994  0.4030  0.3090  2 H 1.49-1.61
H  0.5006  0.5970  0.6910  2 H 1.49-1.61

Record 20
The following is a DFT calculation (PBE) of LiH2 after structural relaxation.

Total DFT energy (no corrections): -2.714 eV/atom
Symmetry: P2/m (10)

Cell lengths 2.5330, 2.5329, 3.7165 Å; angles 90.00, 91.79, 90.00 degrees
With the nearest neighbours (Å) after each atom.
Element x y z (fractional)
Li  0.0000  0.0000  0.0000  8 H 2.23-2.28
H  0.5000  0.5000  0.3691  1 H 0.97
H  0.5000  0.5000  0.6309  1 H 0.97